Density functional theory data (PBE with a Hubbard U) for a relaxed structure of NaTiMoO6.

Structure (CIF):
```
data_NaTiMoO6
_chemical_formula_sum 'Na1 Ti1 Mo1 O6'
_cell_length_a 5.147
_cell_length_b 5.189
_cell_length_c 5.240
_cell_angle_alpha 89.09
_cell_angle_beta 60.92
_cell_angle_gamma 89.66
_space_group_name_H-M_alt 'P 1'
_space_group_IT_number 1
loop_
_space_group_symop_operation_xyz
'x,y,z'
loop_
_atom_site_label
_atom_site_type_symbol
_atom_site_fract_x
_atom_site_fract_y
_atom_site_fract_z
_atom_site_occupancy
Na1 Na 0.000 0.000 0.000 1
Ti1 Ti 0.350 0.444 0.337 1
Mo1 Mo 0.668 0.536 0.690 1
O1 O 0.011 0.699 0.623 1
O2 O 0.379 0.279 0.623 1
O3 O 0.381 0.717 0.983 1
O4 O 0.634 0.286 0.984 1
O5 O 0.651 0.682 0.356 1
O6 O 0.992 0.297 0.361 1
```

Computed properties:
M_tot: 1.04 μB/f.u.
Final energy: -63.03 eV/cell